## NaSrAc2Au4 (PBE-GGA)

Data for a geometry-optimized NaSrAc2Au4 structure.

Energy of formation ... -0.689 eV/atom
Space group ... No. 166

Cell lengths 9.348, 9.348, 9.348 Å; angles 33.56, 33.56, 33.56 degrees
Atoms (fractional coordinates):
Na1 0.000 0.000 0.000
Sr1 0.500 0.500 0.500
Ac1 0.255 0.255 0.255
Ac2 0.745 0.745 0.745
Au1 0.128 0.128 0.128
Au2 0.378 0.378 0.378
Au3 0.622 0.622 0.622
Au4 0.872 0.872 0.872

***

## IrI2Cl (PBE-GGA)

Data for a geometry-optimized IrI2Cl structure.

Space group ... No. 38
Uncorrected formation energy ... -0.06 eV per atom
Polymorph energy (0 for the lowest one) ... 0.000 eV/atom

Cell lengths 4.827, 7.778, 7.778 Å; angles 150.36, 90.00, 90.00 degrees
Atoms (fractional coordinates):
Ir1 0.000 0.000 0.000
I1 0.000 0.387 0.627
I2 0.000 0.627 0.387
Cl1 0.500 0.096 0.096

***

## NiSnP2Cl (PBE-GGA)

Data for a geometry-optimized NiSnP2Cl structure.

Space group ... No. 123
Uncorrected formation energy ... 1.18 eV per atom
Polymorph energy (0 for the lowest one) ... 0.953 eV/atom

Cell lengths 5.051, 5.051, 5.021 Å; angles 90.00, 90.00, 90.00 degrees
Atoms (fractional coordinates):
Ni1 0.000 0.000 0.000
Sn1 0.500 0.500 0.500
P1 0.000 0.500 0.500
P2 0.500 0.000 0.500
Cl1 0.500 0.500 0.000

***

## K4Au2Br (PBE-GGA)

Data for a geometry-optimized K4Au2Br structure.

Space group ... No. 63
Uncorrected formation energy ... -0.61 eV per atom
Polymorph energy (0 for the lowest one) ... 0.000 eV/atom

Cell lengths 5.630, 5.630, 19.042 Å; angles 90.00, 90.00, 120.01 degrees
Atoms (fractional coordinates):
K1 0.000 0.000 0.000
K2 0.000 0.000 0.500
K3 0.333 0.667 0.616
K4 0.333 0.667 0.884
K5 0.334 0.666 0.250
K6 0.666 0.334 0.750
K7 0.667 0.333 0.116
K8 0.667 0.333 0.384
Au1 0.334 0.666 0.064
Au2 0.334 0.666 0.436
Au3 0.666 0.334 0.564
Au4 0.666 0.334 0.936
Br1 0.001 0.999 0.250
Br2 0.999 0.001 0.750

***

## DyHo7Tm2 (PBE-GGA)

Data for a geometry-optimized DyHo7Tm2 structure.

Energy of formation ... 0.705 eV/atom
Space group ... No. 65
Polymorph energy (0 for the lowest one) ... 0.685 eV/atom

Cell lengths 9.363, 9.363, 5.293 Å; angles 90.00, 90.00, 124.92 degrees
Atoms (fractional coordinates):
Dy1 0.000 0.000 0.000
Ho1 0.067 0.289 0.500
Ho2 0.202 0.798 0.000
Ho3 0.289 0.067 0.500
Ho4 0.500 0.500 0.500
Ho5 0.711 0.933 0.500
Ho6 0.798 0.202 0.000
Ho7 0.933 0.711 0.500
Tm1 0.298 0.702 0.500
Tm2 0.702 0.298 0.500

***

## FeSi2H2 (PBE-GGA)

Data for a geometry-optimized FeSi2H2 structure.

Space group ... No. 127
Polymorph energy (0 for the lowest one) ... 0.489 eV/atom

Cell lengths 5.953, 5.953, 3.232 Å; angles 90.00, 90.00, 90.00 degrees
Atoms (fractional coordinates):
Fe1 0.000 0.000 0.000
Fe2 0.500 0.500 0.000
Si1 0.146 0.354 0.000
Si2 0.354 0.854 0.000
Si3 0.646 0.146 0.000
Si4 0.854 0.646 0.000
H1 0.213 0.287 0.500
H2 0.287 0.787 0.500
H3 0.713 0.213 0.500
H4 0.787 0.713 0.500

***

The evaluated theoretical density for the records listed, in turn: 10.1; 5.5; 3.6; 4.0; 7.2; 3.3 Mg/m³.
The evaluated total DFT energy (no corrections) for the records listed, in turn: -3.730; -3.516; -3.315; -2.408; -3.854; -4.508 eV per atom.